Mg2Nb | PBE-GGA | relaxed

The structure in POSCAR format:
```
Mg2Nb
1.0
-0.866 -0.590 5.432
-7.813 -4.092 -1.690
2.259 -4.271 -0.104
Mg Nb
8 4
Cartesian
-1.699 -0.960 2.507
0.805 -2.349 1.686
-1.767 -3.699 1.221
-4.312 -5.029 0.579
-6.940 -3.703 1.282
-3.467 -1.952 4.846
-6.106 -6.040 3.089
-4.396 -2.372 1.924
-3.521 -4.688 3.754
-6.052 -3.303 4.181
-0.848 -0.578 5.306
-0.911 -3.322 4.318
```

Computed properties:
total energy: -4.129 eV/atom

---

SrTbAuS3 | PBE-GGA | relaxed

The structure in POSCAR format:
```
SrTbAuS3
1.0
-7.869 -5.306 5.872
1.575 -3.579 -1.123
7.220 0.111 9.776
Tb Sr S Au
4 4 12 4
Cartesian
-1.792 -3.538 1.391
3.069 -2.639 5.346
1.931 -3.447 13.696
-2.930 -4.346 9.741
-0.697 -4.294 5.338
0.835 -2.691 9.748
6.511 -1.813 7.542
-6.372 -5.172 7.545
0.638 -1.783 6.577
-5.615 -6.273 4.745
-0.499 -5.202 8.510
-2.733 -2.379 3.750
3.286 -3.397 8.066
-0.597 -4.247 12.699
4.037 -0.193 6.280
-3.148 -3.588 7.020
5.754 -0.712 10.342
0.736 -2.738 2.387
-3.898 -6.791 8.807
2.871 -4.606 11.337
0.249 -1.227 4.262
-0.111 -5.757 10.825
3.662 -1.305 9.298
-3.523 -5.680 5.789
```

Computed properties:
total energy: -5.171 eV/atom

---

NdTmNi2Pb | PBE-GGA | relaxed

The structure in POSCAR format:
```
NdTmNi2Pb
1.0
3.690 0.000 0.000
0.000 1.994 7.197
0.000 -1.994 7.197
Nd Pb Tm Ni
1 1 1 2
Cartesian
0.000 0.000 5.212
1.845 0.000 0.072
0.000 0.000 9.234
1.845 0.000 11.424
1.845 0.000 2.846
```

Computed properties:
total energy: -5.293 eV/atom

---

| no. | total moment (μB/atom) |
| --- | --- |
| 1 | 0.011 |
| 2 | 0.001 |
| 3 | 0.000 |